Below is a geometry-optimized Na8In3Pb2 structure, with properties calculated at the PBE level.

energy of formation from the pure elements: -0.06 eV per atom
VASP energy: -2.072 eV/atom
crystal system: monoclinic

Cell lengths 13.000, 10.951, 5.964 Å; angles 90.00, 114.70, 90.00 degrees
Space group C2/m (No. 12)
Unique sites:
Na1 0.083 0.000 0.275 x4
Na2 0.137 0.500 0.594 x4
Na3 0.162 0.264 0.146 x8
In1 0.000 0.230 0.500 x4
In2 0.000 0.500 0.000 x2
Pb1 0.185 0.000 0.842 x4